DFT (GGA-PBE) results for Sm3AgO after structural relaxation.

ΔE_f (raw), eV per atom: -1.19
DOS(E_F), states/eV per atom: 0.99

a b c (Å): 4.876 4.876 4.876
angles (deg): 90.00 90.00 90.00
Space group Pm-3m (No. 221)
Symmetry-distinct sites (fractional):
Sm1 0.000 0.000 0.500 (multiplicity 3)
Ag1 0.500 0.500 0.500 (multiplicity 1)
O1 0.000 0.000 0.000 (multiplicity 1)

***

DFT (GGA-PBE) results for CdAgH6Ir2 after structural relaxation.

DOS(E_F), states/eV per atom: 0.14
Final energy, eV/atom: -4.01

a b c (Å): 7.860 9.156 5.354
angles (deg): 90.00 101.13 90.00
Space group C2/c (No. 15)
Symmetry-distinct sites (fractional):
Cd1 0.000 0.140 0.250 (multiplicity 4)
Ag1 0.000 0.403 0.750 (multiplicity 4)
H1 0.095 0.378 0.137 (multiplicity 8)
H2 0.195 0.250 0.629 (multiplicity 8)
H3 0.235 0.012 0.609 (multiplicity 8)
Ir1 0.194 0.128 0.842 (multiplicity 8)

***

DFT (GGA-PBE) results for HfZnRu3 after structural relaxation.

Distance to the lowest polymorph of the same formula, eV per atom: 0.000
DOS(E_F), states/eV per atom: 1.40
E_form, eV per atom: 0.9059

a b c (Å): 4.459 4.459 4.459
angles (deg): 90.00 90.00 90.00
Space group Pm-3m (No. 221)
Symmetry-distinct sites (fractional):
Hf1 0.000 0.000 0.000 (multiplicity 1)
Zn1 0.500 0.500 0.500 (multiplicity 1)
Ru1 0.000 0.500 0.500 (multiplicity 3)

***

DFT (GGA-PBE) results for La4PuBi5 after structural relaxation.

DOS(E_F), states/eV per atom: 1.97
E_form, eV per atom: -0.8964

a b c (Å): 4.681 4.681 33.057
angles (deg): 90.00 90.00 90.00
Space group I4/mmm (No. 139)
Symmetry-distinct sites (fractional):
La1 0.000 0.000 0.100 (multiplicity 4)
La2 0.000 0.000 0.301 (multiplicity 4)
Pu1 0.000 0.000 0.500 (multiplicity 2)
Bi1 0.000 0.000 0.000 (multiplicity 2)
Bi2 0.000 0.000 0.200 (multiplicity 4)
Bi3 0.000 0.000 0.402 (multiplicity 4)

***

DFT (GGA-PBE) results for Pm2Ni3P4Ir after structural relaxation.

DOS(E_F), states/eV per atom: 0.31
E_form, eV per atom: -0.9719

a b c (Å): 4.059 4.059 9.327
angles (deg): 90.00 90.00 90.00
Space group P-4m2 (No. 115)
Symmetry-distinct sites (fractional):
Pm1 0.000 0.500 0.240 (multiplicity 2)
Ni1 0.000 0.500 0.886 (multiplicity 2)
Ni2 0.500 0.500 0.500 (multiplicity 1)
P1 0.000 0.000 0.000 (multiplicity 1)
P2 0.000 0.500 0.637 (multiplicity 2)
P3 0.500 0.500 0.000 (multiplicity 1)
Ir1 0.000 0.000 0.500 (multiplicity 1)

***

DFT (GGA-PBE) results for ZrOs2Pb after structural relaxation.

DOS(E_F), states/eV per atom: 0.96
E_form, eV per atom: 0.5602

a b c (Å): 3.318 5.008 9.181
angles (deg): 90.00 90.00 90.00
Space group Cmmm (No. 65)
Symmetry-distinct sites (fractional):
Zr1 0.000 0.000 0.000 (multiplicity 2)
Os1 0.000 0.500 0.230 (multiplicity 4)
Pb1 0.000 0.000 0.500 (multiplicity 2)

***

DFT (GGA-PBE) results for PaSnW after structural relaxation.

DOS(E_F), states/eV per atom: 1.13
E_form, eV per atom: 0.2058

a b c (Å): 3.353 3.353 11.773
angles (deg): 90.00 90.00 90.00
Space group I4mm (No. 107)
Symmetry-distinct sites (fractional):
Pa1 0.000 0.000 0.000 (multiplicity 2)
Sn1 0.000 0.000 0.290 (multiplicity 2)
W1 0.000 0.000 0.652 (multiplicity 2)

***

DFT (GGA-PBE) results for EuHo2Hg after structural relaxation.

Distance to the lowest polymorph of the same formula, eV per atom: 0.054
DOS(E_F), states/eV per atom: 1.07
E_form, eV per atom: -0.1063

a b c (Å): 4.894 4.894 4.785
angles (deg): 90.00 90.00 90.00
Space group P4/mmm (No. 123)
Symmetry-distinct sites (fractional):
Eu1 0.000 0.000 0.000 (multiplicity 1)
Ho1 0.000 0.500 0.500 (multiplicity 2)
Hg1 0.500 0.500 0.000 (multiplicity 1)

***

DFT (GGA-PBE) results for Ac3HgSb2Au6 after structural relaxation.

ΔE_f (raw), eV per atom: -0.53
DOS(E_F), states/eV per atom: 0.44

a b c (Å): 6.4976 6.4976 8.9002
angles (deg): 90.00 90.00 120.00
Space group P-3m1 (No. 164)
Symmetry-distinct sites (fractional):
Ac1 0.0000 0.0000 0.0000 (multiplicity 1)
Ac2 0.3333 0.6667 0.6291 (multiplicity 2)
Hg1 0.0000 0.0000 0.5000 (multiplicity 1)
Sb1 0.3333 0.6667 0.0364 (multiplicity 2)
Au1 0.1796 0.3593 0.2830 (multiplicity 6)

***

DFT (GGA-PBE) results for Pr2ThPdSe5 after structural relaxation.

ΔE_f (raw), eV per atom: -1.59
DOS(E_F), states/eV per atom: 0.14

a b c (Å): 4.112 17.617 12.750
angles (deg): 90.00 90.00 90.00
Space group Cmc2_1 (No. 36)
Symmetry-distinct sites (fractional):
Pr1 0.000 0.100 0.000 (multiplicity 4)
Pr2 0.000 0.120 0.342 (multiplicity 4)
Th1 0.000 0.174 0.667 (multiplicity 4)
Pd1 0.000 0.440 0.069 (multiplicity 4)
Se1 0.000 0.012 0.674 (multiplicity 4)
Se2 0.000 0.303 0.999 (multiplicity 4)
Se3 0.000 0.305 0.333 (multiplicity 4)
Se4 0.000 0.343 0.665 (multiplicity 4)
Se5 0.000 0.498 0.389 (multiplicity 4)

***

DFT (GGA-PBE) results for LiCa2MgNi after structural relaxation.

Distance to the lowest polymorph of the same formula, eV per atom: 0.000
DOS(E_F), states/eV per atom: 0.34
E_form, eV per atom: -0.0077

a b c (Å): 5.384 5.384 5.006
angles (deg): 90.00 90.00 90.00
Space group P4/mmm (No. 123)
Symmetry-distinct sites (fractional):
Li1 0.000 0.000 0.000 (multiplicity 1)
Ca1 0.000 0.500 0.500 (multiplicity 2)
Mg1 0.500 0.500 0.000 (multiplicity 1)
Ni1 0.500 0.500 0.500 (multiplicity 1)

***

DFT (GGA-PBE) results for TlNi2HgPd after structural relaxation.

DOS(E_F), states/eV per atom: 1.50
E_form, eV per atom: 0.8096

a b c (Å): 4.750 4.750 5.172
angles (deg): 90.00 90.00 90.00
Space group P4/mmm (No. 123)
Symmetry-distinct sites (fractional):
Tl1 0.000 0.000 0.000 (multiplicity 1)
Ni1 0.000 0.500 0.500 (multiplicity 2)
Hg1 0.500 0.500 0.000 (multiplicity 1)
Pd1 0.000 0.000 0.500 (multiplicity 1)

***

DFT (GGA-PBE) results for TbSnBr after structural relaxation.

ΔE_f (raw), eV per atom: -0.78
DOS(E_F), states/eV per atom: 0.52

a b c (Å): 3.589 6.182 16.076
angles (deg): 90.00 90.00 90.00
Space group Immm (No. 71)
Symmetry-distinct sites (fractional):
Tb1 0.000 0.000 0.111 (multiplicity 4)
Sn1 0.000 0.500 0.224 (multiplicity 4)
Br1 0.000 0.246 0.500 (multiplicity 4)

***

DFT (GGA-PBE) results for Y3Al5 after structural relaxation.

Distance to the lowest polymorph of the same formula, eV per atom: 0.018
DOS(E_F), states/eV per atom: 0.60
E_form, eV per atom: -0.3343

a b c (Å): 6.014 7.912 8.215
angles (deg): 86.85 69.76 78.17
Space group P-1 (No. 2)
Symmetry-distinct sites (fractional):
Y1 0.164 0.000 0.177 (multiplicity 2)
Y2 0.176 0.314 0.500 (multiplicity 2)
Y3 0.227 0.487 0.053 (multiplicity 2)
Al1 0.213 0.632 0.681 (multiplicity 2)
Al2 0.283 0.154 0.812 (multiplicity 2)
Al3 0.315 0.922 0.514 (multiplicity 2)
Al4 0.393 0.635 0.322 (multiplicity 2)
Al5 0.413 0.813 0.834 (multiplicity 2)

***

DFT (GGA-PBE) results for Sr3Pm3NpS8 after structural relaxation.

ΔE_f (raw), eV per atom: -1.95
DOS(E_F), states/eV per atom: 0.91

a b c (Å): 8.1661 8.1661 20.7639
angles (deg): 90.00 90.00 120.00
Space group R-3m (No. 166, hexagonal axes)
Symmetry-distinct sites (fractional):
Sr1 0.0000 0.5000 0.0000 (multiplicity 9)
Pm1 0.0000 0.5000 0.5000 (multiplicity 9)
Np1 0.0000 0.0000 0.5000 (multiplicity 3)
S1 0.0000 0.0000 0.2459 (multiplicity 6)
S2 0.0067 0.5034 0.2426 (multiplicity 18)

***

DFT (GGA-PBE) results for YIr2Cl after structural relaxation.

ΔE_f (raw), eV per atom: -0.46
Distance to the lowest polymorph of the same formula, eV per atom: 0.096
DOS(E_F), states/eV per atom: 0.71

a b c (Å): 3.473 3.473 8.035
angles (deg): 90.00 90.00 90.00
Space group P4mm (No. 99)
Symmetry-distinct sites (fractional):
Y1 0.000 0.000 0.000 (multiplicity 1)
Ir1 0.000 0.000 0.671 (multiplicity 1)
Ir2 0.500 0.500 0.755 (multiplicity 1)
Cl1 0.500 0.500 0.197 (multiplicity 1)

***

DFT (GGA-PBE) results for AcSb2Pd3 after structural relaxation.

ΔE_f (raw), eV per atom: -0.72
Distance to the lowest polymorph of the same formula, eV per atom: 0.041
DOS(E_F), states/eV per atom: 0.61

a b c (Å): 17.550 4.698 7.077
angles (deg): 90.00 110.66 90.00
Space group C2/m (No. 12)
Symmetry-distinct sites (fractional):
Ac1 0.126 0.000 0.162 (multiplicity 4)
Sb1 0.006 0.500 0.273 (multiplicity 4)
Sb2 0.220 0.000 0.749 (multiplicity 4)
Pd1 0.060 0.000 0.700 (multiplicity 4)
Pd2 0.166 0.500 0.863 (multiplicity 4)
Pd3 0.190 0.500 0.489 (multiplicity 4)

***

DFT (GGA-PBE) results for Y2Co3CuNi12 after structural relaxation.

DOS(E_F), states/eV per atom: 1.47
E_form, eV per atom: 0.0949

a b c (Å): 8.2787 8.2787 11.8808
angles (deg): 90.00 90.00 120.00
Space group R-3m (No. 166, hexagonal axes)
Symmetry-distinct sites (fractional):
Y1 0.0000 0.0000 0.2335 (multiplicity 6)
Co1 0.0000 0.5000 0.0000 (multiplicity 9)
Cu1 0.0000 0.0000 0.5000 (multiplicity 3)
Ni1 0.0171 0.5086 0.2078 (multiplicity 18)
Ni2 0.0483 0.5242 0.6015 (multiplicity 18)

***

DFT (GGA-PBE) results for AcAg3Au8 after structural relaxation.

DOS(E_F), states/eV per atom: 0.46
E_form, eV per atom: -0.1917

a b c (Å): 5.5575 5.5575 9.3660
angles (deg): 90.00 90.00 120.00
Space group P3m1 (No. 156)
Symmetry-distinct sites (fractional):
Ac1 0.0000 0.0000 0.0000 (multiplicity 1)
Ag1 0.0000 0.0000 0.4006 (multiplicity 1)
Ag2 0.6667 0.3333 0.4779 (multiplicity 1)
Ag3 0.6667 0.3333 0.8100 (multiplicity 1)
Au1 0.1643 0.3286 0.6827 (multiplicity 3)
Au2 0.3333 0.6667 0.4388 (multiplicity 1)
Au3 0.3333 0.6667 0.9365 (multiplicity 1)
Au4 0.5031 0.0062 0.1962 (multiplicity 3)

***

DFT (GGA-PBE) results for LaNdCoI after structural relaxation.

ΔE_f (raw), eV per atom: -0.62
DOS(E_F), states/eV per atom: 0.34

a b c (Å): 7.083 4.083 8.537
angles (deg): 90.00 105.94 90.00
Space group Cm (No. 8)
Symmetry-distinct sites (fractional):
La1 0.000 0.000 0.000 (multiplicity 2)
Nd1 0.289 0.500 0.363 (multiplicity 2)
Co1 0.393 0.000 0.175 (multiplicity 2)
I1 0.060 0.500 0.677 (multiplicity 2)

***

DFT (GGA-PBE) results for SrSmIr2O8 after structural relaxation.

ΔE_f (raw), eV per atom: -1.33
DOS(E_F), states/eV per atom: 0.94

a b c (Å): 5.9535 5.9535 7.3336
angles (deg): 90.00 90.00 120.00
Space group P-3m1 (No. 164)
Symmetry-distinct sites (fractional):
Sr1 0.0000 0.0000 0.0000 (multiplicity 1)
Sm1 0.0000 0.0000 0.5000 (multiplicity 1)
Ir1 0.3333 0.6667 0.7969 (multiplicity 2)
O1 0.1615 0.3230 0.7183 (multiplicity 6)
O2 0.3333 0.6667 0.0440 (multiplicity 2)

***

DFT (GGA-PBE) results for Cs2GeH after structural relaxation.

Distance to the lowest polymorph of the same formula, eV per atom: 0.005
DOS(E_F), states/eV per atom: 0.88

a b c (Å): 4.356 13.466 5.085
angles (deg): 90.00 90.00 90.00
Space group Imm2 (No. 44)
Symmetry-distinct sites (fractional):
Cs1 0.000 0.143 0.000 (multiplicity 4)
Ge1 0.000 0.500 0.014 (multiplicity 2)
H1 0.000 0.500 0.690 (multiplicity 2)

***

DFT (GGA-PBE) results for Ca2TlTc after structural relaxation.

Distance to the lowest polymorph of the same formula, eV per atom: 0.000
DOS(E_F), states/eV per atom: 0.80
E_form, eV per atom: 0.2960

a b c (Å): 3.669 3.669 8.100
angles (deg): 90.00 90.00 90.00
Space group P4mm (No. 99)
Symmetry-distinct sites (fractional):
Ca1 0.000 0.000 0.000 (multiplicity 1)
Ca2 0.500 0.500 0.385 (multiplicity 1)
Tl1 0.500 0.500 0.762 (multiplicity 1)
Tc1 0.000 0.000 0.622 (multiplicity 1)